A) Compound: NaCl2
Source: the Alexandria database
Functional: PBE-GGA
Structure: relaxed

Geometry as POSCAR:
```
NaCl2
1.0
7.679 0.000 0.000
0.000 7.988 0.000
0.000 0.000 5.016
Na Cl
4 8
Cartesian
1.731 0.314 1.254
1.731 3.680 3.762
5.947 4.308 1.254
5.947 7.674 3.762
0.722 0.959 3.762
0.722 3.035 1.254
3.372 5.991 0.000
3.372 5.991 2.508
4.307 1.997 0.000
4.307 1.997 2.508
6.957 4.952 3.762
6.957 7.029 1.254
```

Output
Crystal system   orthorhombic
Magnetic moment   0.50 μB/f.u.

B) Compound: NaCl2
Source: the Alexandria database
Functional: PBE-GGA
Structure: relaxed

Geometry as POSCAR:
```
NaCl2
1.0
7.478 0.000 0.000
0.000 5.307 0.000
-3.726 0.000 3.769
Na Cl
2 4
Cartesian
0.000 0.000 0.000
3.739 2.653 0.000
-0.931 2.653 0.943
4.683 2.653 2.826
2.808 0.000 0.943
0.944 0.000 2.826
```

Output
Crystal system   monoclinic
Magnetic moment   0.00 μB/f.u.

The winner here is B), beating the second structure by 0.058 eV/atom.

A) Compound: NaNb2Cl6
Source: the Alexandria database
Functional: PBE-GGA
Structure: relaxed

Geometry as POSCAR:
```
NaNb2Cl6
1.0
7.763 -4.786 0.000
7.763 4.786 0.000
-1.472 0.000 6.143
Na Nb Cl
2 4 12
Cartesian
6.659 3.545 4.607
7.395 -3.545 1.536
2.872 0.315 4.604
3.607 -0.315 1.532
10.446 0.315 4.611
11.182 -0.315 1.539
5.706 3.772 2.031
3.503 2.736 4.776
9.083 3.772 1.041
5.079 0.030 3.501
5.814 -0.030 0.430
9.815 2.736 4.438
4.239 -2.736 1.705
8.239 0.030 5.713
8.975 -0.030 2.642
4.970 -3.772 5.102
10.550 -2.736 1.367
8.348 -3.772 4.112
```

Output
Crystal system   monoclinic
Magnetic moment   2.63 μB/f.u.

B) Compound: NaNb2Cl6
Source: the Alexandria database
Functional: PBE-GGA
Structure: relaxed

Geometry as POSCAR:
```
NaNb2Cl6
1.0
7.139 -1.712 0.000
7.139 1.712 0.000
-5.590 0.000 9.664
Na Nb Cl
1 2 6
Cartesian
0.000 0.000 0.000
0.894 0.000 5.982
7.794 0.000 3.682
-1.029 0.000 2.757
-0.063 0.000 8.319
2.473 0.000 4.045
6.215 0.000 5.619
8.751 0.000 1.345
9.718 0.000 6.907
```

Output
Crystal system   monoclinic
Magnetic moment   0.00 μB/f.u.

The winner here is B), beating the second structure by 0.271 eV/atom.

A) Compound: NaNb3Cl
Source: the Alexandria database
Functional: PBE-GGA
Structure: relaxed

Geometry as POSCAR:
```
NaNb3Cl
1.0
4.815 0.000 0.000
0.000 4.815 0.000
0.000 0.000 4.815
Na Nb Cl
1 3 1
Cartesian
0.000 0.000 0.000
0.000 0.000 2.408
0.000 2.408 0.000
2.408 0.000 0.000
2.408 2.408 2.408
```

Output
Crystal system   cubic
Magnetic moment   0.00 μB/f.u.

B) Compound: NaNb3Cl
Source: the Alexandria database
Functional: PBE-GGA
Structure: relaxed

Geometry as POSCAR:
```
NaNb3Cl
1.0
4.661 0.000 0.000
0.000 4.661 0.000
0.000 0.000 4.661
Na Nb Cl
1 3 1
Cartesian
0.000 0.000 0.000
0.000 2.330 2.330
2.330 0.000 2.330
2.330 2.330 0.000
2.330 2.330 2.330
```

Output
Crystal system   cubic
Magnetic moment   0.00 μB/f.u.

The winner here is B), beating the second structure by 1.412 eV/atom.

A) Compound: Na2NbCl
Source: the Alexandria database
Functional: PBE-GGA
Structure: relaxed

Geometry as POSCAR:
```
Na2NbCl
1.0
7.660 0.000 0.000
0.000 7.660 0.000
0.000 0.000 7.660
Na Nb Cl
8 4 4
Cartesian
1.915 1.915 1.915
1.915 1.915 5.745
1.915 5.745 1.915
1.915 5.745 5.745
5.745 1.915 1.915
5.745 1.915 5.745
5.745 5.745 1.915
5.745 5.745 5.745
0.000 0.000 0.000
0.000 3.830 3.830
3.830 0.000 3.830
3.830 3.830 0.000
0.000 0.000 3.830
0.000 3.830 0.000
3.830 0.000 0.000
3.830 3.830 3.830
```

Output
Crystal system   cubic
Magnetic moment   5.16 μB/f.u.

B) Compound: Na2NbCl
Source: the Alexandria database
Functional: PBE-GGA
Structure: relaxed

Geometry as POSCAR:
```
Na2NbCl
1.0
8.823 0.000 0.000
0.000 8.823 0.000
0.000 0.000 4.903
Na Nb Cl
8 4 4
Cartesian
1.509 6.617 0.613
2.206 1.509 4.290
2.206 2.902 1.839
2.902 6.617 3.065
5.921 2.206 3.065
6.617 5.921 1.839
6.617 7.313 4.290
7.313 2.206 0.613
0.000 0.000 2.452
0.000 4.411 3.677
4.411 0.000 1.226
4.411 4.411 0.000
0.000 0.000 0.000
0.000 4.411 1.226
4.411 0.000 3.677
4.411 4.411 2.452
```

Output
Crystal system   tetragonal
Magnetic moment   0.00 μB/f.u.

The winner here is B), beating the second structure by 0.192 eV/atom.

A) Compound: NaNbCl2
Source: the Alexandria database
Functional: PBE-GGA
Structure: relaxed

Geometry as POSCAR:
```
NaNbCl2
1.0
3.329 0.000 0.000
-1.665 2.883 0.000
0.000 0.000 25.753
Na Nb Cl
3 3 6
Cartesian
0.000 0.000 0.000
0.000 1.922 17.168
1.665 0.961 8.584
0.000 0.000 12.876
0.000 1.922 4.292
1.665 0.961 21.461
0.000 0.000 10.436
0.000 0.000 15.317
0.000 1.922 1.851
0.000 1.922 6.733
1.665 0.961 19.020
1.665 0.961 23.901
```

Output
Crystal system   trigonal
Magnetic moment   0.00 μB/f.u.

B) Compound: NaNbCl2
Source: the Alexandria database
Functional: PBE-GGA
Structure: relaxed

Geometry as POSCAR:
```
NaNbCl2
1.0
6.516 0.000 0.000
0.000 6.516 0.000
0.000 0.000 6.516
Na Nb Cl
4 4 8
Cartesian
0.000 0.000 0.000
0.000 3.258 3.258
3.258 0.000 3.258
3.258 3.258 0.000
0.000 0.000 3.258
0.000 3.258 0.000
3.258 0.000 0.000
3.258 3.258 3.258
1.629 1.629 1.629
1.629 1.629 4.887
1.629 4.887 1.629
1.629 4.887 4.887
4.887 1.629 1.629
4.887 1.629 4.887
4.887 4.887 1.629
4.887 4.887 4.887
```

Output
Crystal system   cubic
Magnetic moment   0.00 μB/f.u.

C) Compound: NaNbCl2
Source: the Alexandria database
Functional: PBE-GGA
Structure: relaxed

Geometry as POSCAR:
```
NaNbCl2
1.0
3.258 0.000 0.000
-1.629 2.821 0.000
0.000 0.000 30.845
Na Nb Cl
3 3 6
Cartesian
0.000 0.000 0.000
0.000 1.881 20.563
1.629 0.940 10.282
0.000 0.000 15.422
0.000 1.881 5.141
1.629 0.940 25.704
0.000 0.000 3.378
0.000 0.000 27.467
0.000 1.881 17.185
0.000 1.881 23.941
1.629 0.940 6.904
1.629 0.940 13.660
```

Output
Crystal system   trigonal
Magnetic moment   0.00 μB/f.u.

The winner here is C), beating the second structure by 0.014 eV/atom.

A) Compound: NaNbPCl2
Source: the Alexandria database
Functional: PBE-GGA
Structure: relaxed

Geometry as POSCAR:
```
NaNbPCl2
1.0
5.006 0.000 0.000
0.000 5.006 0.000
0.000 0.000 4.866
Na Nb P Cl
1 1 1 2
Cartesian
0.000 0.000 0.000
2.503 2.503 2.433
2.503 2.503 0.000
0.000 2.503 2.433
2.503 0.000 2.433
```

Output
Crystal system   tetragonal
Magnetic moment   0.20 μB/f.u.

B) Compound: NaNbPCl2
Source: the Alexandria database
Functional: PBE-GGA
Structure: relaxed

Geometry as POSCAR:
```
NaNbPCl2
1.0
4.664 0.000 0.000
0.000 4.664 0.000
0.000 0.000 5.400
Na Nb P Cl
1 1 1 2
Cartesian
0.000 0.000 0.000
2.332 2.332 2.700
0.000 0.000 2.700
0.000 2.332 0.000
2.332 0.000 0.000
```

Output
Crystal system   tetragonal
Magnetic moment   1.00 μB/f.u.

The winner here is A), beating the second structure by 1.196 eV/atom.

A) Compound: NaNbSCl2
Source: the Alexandria database
Functional: PBE-GGA
Structure: relaxed

Geometry as POSCAR:
```
NaNbSCl2
1.0
4.686 0.000 0.000
0.000 4.686 0.000
0.000 0.000 5.177
Na Nb S Cl
1 1 1 2
Cartesian
0.000 0.000 0.000
2.343 2.343 2.588
0.000 0.000 2.588
0.000 2.343 0.000
2.343 0.000 0.000
```

Output
Crystal system   tetragonal
Magnetic moment   2.00 μB/f.u.

B) Compound: NaNbSCl2
Source: the Alexandria database
Functional: PBE-GGA
Structure: relaxed

Geometry as POSCAR:
```
NaNbSCl2
1.0
5.101 0.000 0.000
0.000 5.101 0.000
0.000 0.000 4.789
Na Nb S Cl
1 1 1 2
Cartesian
0.000 0.000 0.000
2.551 2.551 2.394
2.551 2.551 0.000
0.000 2.551 2.394
2.551 0.000 2.394
```

Output
Crystal system   tetragonal
Magnetic moment   1.61 μB/f.u.

The winner here is B), beating the second structure by 1.201 eV/atom.

A) Compound: NaNbS2Cl
Source: the Alexandria database
Functional: PBE-GGA
Structure: relaxed

Geometry as POSCAR:
```
NaNbS2Cl
1.0
4.834 0.000 0.000
0.000 4.834 0.000
0.000 0.000 5.011
Na Nb S Cl
1 1 2 1
Cartesian
0.000 0.000 0.000
2.417 2.417 2.505
0.000 2.417 2.505
2.417 0.000 2.505
2.417 2.417 0.000
```

Output
Crystal system   tetragonal
Magnetic moment   0.00 μB/f.u.

B) Compound: NaNbS2Cl
Source: the Alexandria database
Functional: PBE-GGA
Structure: relaxed

Geometry as POSCAR:
```
NaNbS2Cl
1.0
4.856 0.000 0.000
0.000 4.856 0.000
0.000 0.000 4.647
Na Nb S Cl
1 1 2 1
Cartesian
0.000 0.000 0.000
2.428 2.428 2.324
0.000 2.428 0.000
2.428 0.000 0.000
0.000 0.000 2.324
```

Output
Crystal system   tetragonal
Magnetic moment   1.00 μB/f.u.

The winner here is A), beating the second structure by 1.539 eV/atom.